4
Lattice="6.070 -3.721 -2.733 -3.675 6.099 2.733 -2.811 0.436 7.077" Properties=species:S:1:pos:R:3 comment="KTl2Pb | Alexandria via LeMat-Bulk | PBE | relaxed" vol_a3_per_atom=36.03 final_energy_ev_per_fu=-9.296 sg=Immm e_form_ev_per_atom=0.060 magnetic_moment_mub_per_cell=0.0 density_kg_m3=7548 pbc="T T T"
K 0.000 0.000 0.000
Tl -1.740 1.753 2.632
Tl -4.745 4.782 7.178
Pb -3.243 3.268 4.905